# BaOsSe2

An optimized crystal structure of BaOsSe2 (PBE, Alexandria).

uncorrected formation energy	0.6	meV per atom
total energy	-5.0298	eV per atom
size of the total moment	0.0002	μB/atom
density of states at the Fermi level	3.58	states/eV/f.u.

Cell: 3.287 4.028 7.133 Å, 90.00 90.00 90.00°
Space group Pmm2 (No. 25)
Asymmetric unit:
Ba (0.000, 0.000, 0.000) [1 per cell]
Os (0.500, 0.500, 0.378) [1 per cell]
Se (0.000, 0.000, 0.455) [1 per cell]
Se (0.500, 0.500, 0.732) [1 per cell]

# TbHoZnAg

An optimized crystal structure of TbHoZnAg (PBE, Alexandria).

energy relative to the elements	-322	meV/atom
total energy	-3.6558	eV per atom
size of the total moment	0.0000	μB/atom
density of states at the Fermi level	2.70	states/eV/f.u.

Cell: 7.210 7.210 7.210 Å, 90.00 90.00 90.00°
Space group F-43m (No. 216)
Asymmetric unit:
Tb (0.000, 0.000, 0.000) [4 per cell]
Ho (0.000, 0.000, 0.500) [4 per cell]
Zn (0.250, 0.250, 0.250) [4 per cell]
Ag (0.250, 0.250, 0.750) [4 per cell]

# PrSmAs

An optimized crystal structure of PrSmAs (PBE, Alexandria).

energy relative to the elements	-826	meV/atom
total energy	-5.5421	eV per atom
size of the total moment	0.0000	μB/atom
density of states at the Fermi level	2.06	states/eV/f.u.

Cell: 7.051 7.051 7.051 Å, 90.00 90.00 90.00°
Space group F-43m (No. 216)
Asymmetric unit:
Pr (0.000, 0.000, 0.000) [4 per cell]
Sm (0.000, 0.000, 0.500) [4 per cell]
As (0.250, 0.250, 0.250) [4 per cell]

Q: size of the total moment of number 3 (PrSmAs)?
A: 0.0000 μB/atom

Q: Among the records above, which one has the highest total energy?
A: TbHoZnAg

Repeat the first record exactly.
# BaOsSe2

An optimized crystal structure of BaOsSe2 (PBE, Alexandria).

uncorrected formation energy	0.6	meV per atom
total energy	-5.0298	eV per atom
size of the total moment	0.0002	μB/atom
density of states at the Fermi level	3.58	states/eV/f.u.

Cell: 3.287 4.028 7.133 Å, 90.00 90.00 90.00°
Space group Pmm2 (No. 25)
Asymmetric unit:
Ba (0.000, 0.000, 0.000) [1 per cell]
Os (0.500, 0.500, 0.378) [1 per cell]
Se (0.000, 0.000, 0.455) [1 per cell]
Se (0.500, 0.500, 0.732) [1 per cell]

Q: Which of these has the highest density of states at the Fermi level?
A: BaOsSe2